(1)
Material: PuTaAs
Method: DFT, PBE-GGA
State: relaxed

Electronic total energy = -119.531 eV/cell
Space group = F-43m, No. 216

a = 6.4010 Å, b = 6.4010 Å, c = 6.4010 Å
α = 90.00°, β = 90.00°, γ = 90.00°
Positions (direct):
Pu  0.0000  0.0000  0.0000
Pu  0.0000  0.5000  0.5000
Pu  0.5000  0.0000  0.5000
Pu  0.5000  0.5000  0.0000
Ta  0.2500  0.2500  0.2500
Ta  0.2500  0.7500  0.7500
Ta  0.7500  0.2500  0.7500
Ta  0.7500  0.7500  0.2500
As  0.0000  0.0000  0.5000
As  0.0000  0.5000  0.0000
As  0.5000  0.0000  0.0000
As  0.5000  0.5000  0.5000

=====

(2)
Material: CoNiAgB
Method: DFT, PBE-GGA
State: relaxed

Energy above the lowest structure with this stoichiometry = 4 meV per atom
Space group = F-43m, No. 216

a = 5.6502 Å, b = 5.6502 Å, c = 5.6502 Å
α = 90.00°, β = 90.00°, γ = 90.00°
Positions (direct):
Co  0.0000  0.0000  0.0000
Co  0.0000  0.5000  0.5000
Co  0.5000  0.0000  0.5000
Co  0.5000  0.5000  0.0000
Ni  0.2500  0.2500  0.2500
Ni  0.2500  0.7500  0.7500
Ni  0.7500  0.2500  0.7500
Ni  0.7500  0.7500  0.2500
Ag  0.0000  0.0000  0.5000
Ag  0.0000  0.5000  0.0000
Ag  0.5000  0.0000  0.0000
Ag  0.5000  0.5000  0.5000
B  0.2500  0.2500  0.7500
B  0.2500  0.7500  0.2500
B  0.7500  0.2500  0.2500
B  0.7500  0.7500  0.7500